(1)
Material: LaErZr
Method: DFT, PBE-GGA
State: relaxed

Unit cell a=5.2519 b=5.2519 c=5.2519 alpha=60.00 beta=60.00 gamma=60.00
Element x y z (fractional)
La 0.0000 0.0000 0.0000
Er 0.5000 0.5000 0.5000
Zr 0.7500 0.7500 0.7500

Results
For the final energy, the calculation gives -15.8 eV for the cell shown. The calculation puts the formation energy at 70.9 kJ per mole of atoms. For the excess energy over the best structure of this formula in the dataset, the calculation gives 0.0 meV/atom.



(2)
Material: HfScPbC
Method: DFT, PBE-GGA
State: relaxed

Unit cell a=3.3845 b=3.3845 c=14.9108 alpha=90.00 beta=90.00 gamma=120.00
Element x y z (fractional)
Hf 0.0000 0.0000 0.1682
Hf 0.0000 0.0000 0.8318
Sc 0.3333 0.6667 0.3290
Sc 0.3333 0.6667 0.6710
Pb 0.0000 0.0000 0.5000
Pb 0.3333 0.6667 0.0000
C 0.6667 0.3333 0.2446
C 0.6667 0.3333 0.7554

Results
For the final energy, the calculation gives -63.6 eV for the cell shown. For the excess energy over the best structure of this formula in the dataset, the calculation gives 7.6 meV/atom.



(3)
Material: Li8CdHg2
Method: DFT, PBE-GGA
State: relaxed

Unit cell a=4.5503 b=4.5503 c=10.6780 alpha=102.23 beta=102.23 gamma=60.06
Element x y z (fractional)
Li 0.0905 0.0905 0.2712
Li 0.1798 0.1798 0.5397
Li 0.2708 0.2708 0.8126
Li 0.3638 0.3638 0.0910
Li 0.6362 0.6362 0.9090
Li 0.7292 0.7292 0.1874
Li 0.8202 0.8202 0.4603
Li 0.9095 0.9095 0.7288
Cd 0.0000 0.0000 0.0000
Hg 0.4514 0.4514 0.3536
Hg 0.5486 0.5486 0.6464

Results
For the final energy, the calculation gives -19.5 eV for the cell shown.



(4)
Material: DyHgB
Method: DFT, PBE-GGA
State: relaxed

Unit cell a=4.3252 b=4.3252 c=4.3252 alpha=60.00 beta=60.00 gamma=60.00
Element x y z (fractional)
Dy 0.0000 0.0000 0.0000
Hg 0.5000 0.5000 0.5000
B 0.2500 0.2500 0.2500

Results
For the final energy, the calculation gives -11.7 eV for the cell shown. For the excess energy over the best structure of this formula in the dataset, the calculation gives 0.0 meV/atom.